[1]
Below is a geometry-optimized Pm2ZnCu5 structure, with properties calculated at the GGA-PBE level.

Values from the calculation:
The distance to the lowest polymorph of the same formula comes out at 152.3 meV per atom. As for the symmetry: No. 107.

a = 6.0120 Å, b = 6.0120 Å, c = 6.0120 Å
α = 90.30°, β = 119.83°, γ = 119.83°
Last column: nearest neighbours and their distance in Å.
Fractional coordinates of all 8 atoms:
1 Cu 0.5878 0.2866 0.2866  3 Cu 2.48-2.49, 1 Zn 2.51
2 Cu 0.0000 0.2866 0.6988  3 Cu 2.48-2.49, 1 Zn 2.51
3 Pm 0.5000 0.2393 0.7393  10 Cu 3.01-3.05
4 Cu 0.0000 0.2851 0.2851  4 Cu 2.49, 1 Zn 2.52
5 Pm 0.5000 0.7393 0.2393  10 Cu 3.01-3.05
6 Zn 0.0000 0.9875 0.9875  5 Cu 2.51-2.52
7 Cu 0.0000 0.6988 0.2866  3 Cu 2.48-2.49, 1 Zn 2.51
8 Cu 0.4122 0.6988 0.6988  3 Cu 2.48-2.49, 1 Zn 2.51

***

[2]
Below is a geometry-optimized GdZn2Ge structure, with properties calculated at the GGA-PBE level.

Values from the calculation:
The distance to the lowest polymorph of the same formula comes out at 0.0 meV per atom. As for the symmetry: No. 123.

a = 4.4901 Å, b = 4.1649 Å, c = 4.1649 Å
α = 90.00°, β = 90.00°, γ = 90.00°
Last column: nearest neighbours and their distance in Å.
Fractional coordinates of all 4 atoms:
1 Zn 0.0000 0.0000 0.5000  4 Zn 2.95, 4 Gd 3.06, 4 Ge 3.06
2 Gd 0.5000 0.5000 0.5000  4 Ge 2.95, 8 Zn 3.06
3 Ge 0.5000 0.0000 0.0000  4 Gd 2.95, 8 Zn 3.06
4 Zn 0.0000 0.5000 0.0000  4 Zn 2.95, 4 Gd 3.06, 4 Ge 3.06

***

[3]
Below is a geometry-optimized CsRb2TcO4 structure, with properties calculated at the GGA-PBE level.

Values from the calculation:
As for the symmetry: No. 82. The energy relative to the elements, uncorrected comes out at -1502.6 meV/atom.

a = 6.4293 Å, b = 6.4293 Å, c = 6.4293 Å
α = 91.25°, β = 119.28°, γ = 119.28°
Last column: nearest neighbours and their distance in Å.
Fractional coordinates of all 8 atoms:
1 O 0.9787 0.2344 0.6120  1 Tc 1.84
2 Rb 0.0000 0.0000 0.0000  4 O 2.92
3 O 0.3776 0.7444 0.7656  1 Tc 1.84
4 Rb 0.5000 0.7500 0.2500  4 O 2.81
5 O 0.6224 0.3880 0.3668  1 Tc 1.84
6 Tc 0.0000 0.5000 0.5000  4 O 1.84
7 O 0.0213 0.6332 0.2556  1 Tc 1.84
8 Cs 0.5000 0.2500 0.7500  4 O 2.96

***

[4]
Below is a geometry-optimized TlZnBi2 structure, with properties calculated at the GGA-PBE level.

Values from the calculation:
As for the symmetry: No. 166. As for the calculated total energy: -10.88 eV/cell.

a = 4.1158 Å, b = 4.1158 Å, c = 8.3975 Å
α = 75.81°, β = 75.81°, γ = 60.00°
Last column: nearest neighbours and their distance in Å.
Fractional coordinates of all 4 atoms:
1 Bi 0.2670 0.2670 0.1989  3 Zn 2.87
2 Tl 0.5000 0.5000 0.5000  6 Bi 3.40
3 Bi 0.7330 0.7330 0.8011  3 Zn 2.87
4 Zn 0.0000 0.0000 0.0000  6 Bi 2.87

***

[5]
Below is a geometry-optimized Ho2ZnNi7 structure, with properties calculated at the GGA-PBE level.

Values from the calculation:
As for the symmetry: No. 115. As for the calculated total energy: -53.42 eV/cell.

a = 3.7695 Å, b = 3.7695 Å, c = 10.4262 Å
α = 90.00°, β = 90.00°, γ = 90.00°
Last column: nearest neighbours and their distance in Å.
Fractional coordinates of all 10 atoms:
1 Ho 0.0000 0.5000 0.2634  12 Ni 2.86-3.10
2 Ni 0.5000 0.0000 0.1448  3 Ni 2.26-2.42, 2 Zn 2.42
3 Ni 0.5000 0.0000 0.3619  5 Ni 2.26-2.37
4 Zn 0.5000 0.5000 0.0000  8 Ni 2.42-2.67
5 Ni 0.0000 0.5000 0.6381  5 Ni 2.26-2.37
6 Ho 0.5000 0.0000 0.7366  12 Ni 2.86-3.10
7 Ni 0.5000 0.5000 0.5000  4 Ni 2.37
8 Ni 0.0000 0.0000 0.0000  4 Ni 2.42, 4 Zn 2.67
9 Ni 0.0000 0.0000 0.5000  4 Ni 2.37
10 Ni 0.0000 0.5000 0.8552  3 Ni 2.26-2.42, 2 Zn 2.42

***

[6]
Below is a geometry-optimized SmTa3O9 structure, with properties calculated at the GGA-PBE level.

Values from the calculation:
As for the symmetry: No. 11. The energy relative to the elements, uncorrected comes out at -3032.9 meV/atom.

a = 5.3905 Å, b = 7.5771 Å, c = 8.3127 Å
α = 90.00°, β = 92.46°, γ = 90.00°
Last column: nearest neighbours and their distance in Å.
Fractional coordinates of all 26 atoms:
1 O 0.9120 0.7500 0.0187  2 Ta 1.96
2 O 0.3201 0.5493 0.1223  2 Ta 1.86-2.00
3 O 0.6536 0.7500 0.3418  2 Ta 1.99
4 O 0.8470 0.0596 0.2136  2 Ta 1.97-2.04
5 O 0.2621 0.5397 0.4675  2 Ta 2.04-2.21
6 O 0.4330 0.2500 0.3136  2 Ta 2.02
7 Ta 0.0000 0.5000 0.0000  6 O 1.96-2.04
8 O 0.2621 0.9603 0.4675  2 Ta 2.04-2.21
9 Ta 0.4724 0.0069 0.6974  5 O 1.86-2.04
10 Sm 0.0345 0.2500 0.4343  8 O 2.41-2.52
11 O 0.6799 0.0493 0.8777  2 Ta 1.86-2.00
12 Sm 0.9655 0.7500 0.5657  8 O 2.41-2.52
13 O 0.7379 0.4603 0.5325  2 Ta 2.04-2.21
14 O 0.1530 0.5596 0.7864  2 Ta 1.97-2.04
15 Ta 0.5276 0.9931 0.3026  5 O 1.86-2.04
16 O 0.0880 0.2500 0.9813  2 Ta 1.96
17 O 0.3201 0.9507 0.1223  2 Ta 1.86-2.00
18 Ta 0.4724 0.4931 0.6974  5 O 1.86-2.04
19 O 0.3464 0.2500 0.6582  2 Ta 1.99
20 O 0.5670 0.7500 0.6864  2 Ta 2.02
21 Ta 0.5276 0.5069 0.3026  5 O 1.86-2.04
22 O 0.7379 0.0397 0.5325  2 Ta 2.04-2.21
23 O 0.1530 0.9404 0.7864  2 Ta 1.97-2.04
24 Ta 0.0000 0.0000 0.0000  6 O 1.96-2.04
25 O 0.8470 0.4404 0.2136  2 Ta 1.97-2.04
26 O 0.6799 0.4507 0.8777  2 Ta 1.86-2.00

***

[7]
Below is a geometry-optimized Zr2FeW structure, with properties calculated at the GGA-PBE level.

Values from the calculation:
The distance to the lowest polymorph of the same formula comes out at 537.1 meV per atom. As for the symmetry: No. 122.

a = 7.2774 Å, b = 7.2774 Å, c = 5.8472 Å
α = 51.52°, β = 51.52°, γ = 90.00°
Last column: nearest neighbours and their distance in Å.
Fractional coordinates of all 8 atoms:
1 W 0.0000 0.0000 0.0000  2 Fe 2.78, 4 Zr 2.84
2 Zr 0.1583 0.6250 0.2500  2 Fe 2.51
3 Fe 0.5000 0.5000 0.0000  4 Zr 2.51, 2 W 2.78
4 Fe 0.2500 0.7500 0.5000  4 Zr 2.51, 2 W 2.78
5 Zr 0.3750 0.4083 0.7500  2 Fe 2.51
6 W 0.7500 0.2500 0.5000  2 Fe 2.78, 4 Zr 2.84
7 Zr 0.5917 0.1250 0.2500  2 Fe 2.51
8 Zr 0.8750 0.8417 0.7500  2 Fe 2.51

***

[8]
Below is a geometry-optimized LiTiCuAu structure, with properties calculated at the GGA-PBE level.

Values from the calculation:
As for the symmetry: No. 216. As for the calculated total energy: -18.07 eV/cell.

a = 4.3950 Å, b = 4.3950 Å, c = 4.3950 Å
α = 60.00°, β = 60.00°, γ = 60.00°
Last column: nearest neighbours and their distance in Å.
Fractional coordinates of all 4 atoms:
1 Cu 0.2500 0.2500 0.2500  4 Li 2.69, 4 Ti 2.69
2 Au 0.7500 0.7500 0.7500  4 Ti 2.69, 4 Li 2.69
3 Ti 0.5000 0.5000 0.5000  4 Cu 2.69, 4 Au 2.69
4 Li 0.0000 0.0000 0.0000  4 Cu 2.69, 4 Au 2.69

***

[9]
Below is a geometry-optimized Dy2Ho8Er structure, with properties calculated at the GGA-PBE level.

Values from the calculation:
The distance to the lowest polymorph of the same formula comes out at 0.0 meV per atom. As for the symmetry: No. 12.

a = 5.5235 Å, b = 9.9758 Å, c = 9.9758 Å
α = 40.40°, β = 92.71°, γ = 92.71°
Last column: nearest neighbours and their distance in Å.
Fractional coordinates of all 11 atoms:
1 Ho 0.7646 0.4536 0.4536  1 Ho 3.05, 1 Dy 3.18
2 Ho 0.2354 0.5464 0.5464  1 Ho 3.05, 1 Dy 3.18
3 Ho 0.7326 0.8651 0.3971  4 Ho 3.22-3.52, 3 Dy 3.39-3.59, 1 Er 3.45
4 Ho 0.7326 0.3971 0.8651  4 Ho 3.22-3.52, 3 Dy 3.39-3.59, 1 Er 3.45
5 Er 0.0000 0.0000 0.0000  10 Ho 3.45-3.77
6 Ho 0.2327 0.1867 0.1867  4 Dy 3.30-3.49, 4 Ho 3.43-3.52, 1 Er 3.66
7 Ho 0.2674 0.1349 0.6029  4 Ho 3.22-3.52, 3 Dy 3.39-3.59, 1 Er 3.45
8 Ho 0.7673 0.8133 0.8133  4 Dy 3.30-3.49, 4 Ho 3.43-3.52, 1 Er 3.66
9 Dy 0.7488 0.2838 0.2838  9 Ho 3.18-3.55
10 Dy 0.2512 0.7162 0.7162  9 Ho 3.18-3.55
11 Ho 0.2674 0.6029 0.1349  4 Ho 3.22-3.52, 3 Dy 3.39-3.59, 1 Er 3.45

***

[10]
Below is a geometry-optimized TaSi4Se structure, with properties calculated at the GGA-PBE level.

Values from the calculation:
As for the symmetry: No. 216. The energy relative to the elements, uncorrected comes out at 375.6 meV/atom.

a = 5.0663 Å, b = 5.0663 Å, c = 5.0663 Å
α = 60.00°, β = 60.00°, γ = 60.00°
Last column: nearest neighbours and their distance in Å.
Fractional coordinates of all 6 atoms:
1 Se 0.0000 0.0000 0.0000  12 Si 2.97, 4 Ta 3.10
2 Si 0.6269 0.1193 0.6269  6 Si 2.49-2.57
3 Si 0.6269 0.6269 0.6269  6 Si 2.49-2.57
4 Si 0.6269 0.6269 0.1193  6 Si 2.49-2.57
5 Si 0.1193 0.6269 0.6269  6 Si 2.49-2.57
6 Ta 0.2500 0.2500 0.2500  12 Si 2.97, 4 Se 3.10

***

[11]
Below is a geometry-optimized Cd5Br12Cl3 structure, with properties calculated at the GGA-PBE level.

Values from the calculation:
As for the symmetry: No. 230. The energy relative to the elements, uncorrected comes out at -362.2 meV/atom.

a = 15.3069 Å, b = 15.3069 Å, c = 15.3069 Å
α = 109.47°, β = 109.47°, γ = 109.47°
Last column: nearest neighbours and their distance in Å.
Fractional coordinates of all 80 atoms:
1 Br 0.1294 0.6961 0.5230  2 Cd 2.65-2.82
2 Cd 0.8750 0.2500 0.6250  4 Br 2.65
3 Br 0.4770 0.8039 0.8706  2 Cd 2.65-2.82
4 Cd 0.1250 0.3750 0.2500  4 Br 2.65
5 Cd 0.3750 0.2500 0.1250  4 Br 2.65
6 Br 0.6961 0.5667 0.1731  2 Cd 2.65-2.82
7 Br 0.1961 0.5230 0.6294  2 Cd 2.65-2.82
8 Br 0.3039 0.8706 0.9770  2 Cd 2.65-2.82
9 Br 0.1294 0.4333 0.1064  2 Cd 2.65-2.82
10 Br 0.9333 0.1064 0.6294  2 Cd 2.65-2.82
11 Br 0.1064 0.1731 0.4770  2 Cd 2.65-2.82
12 Br 0.8936 0.0667 0.8706  2 Cd 2.65-2.82
13 Cl 0.2500 0.6250 0.8750  4 Br 3.23
14 Cd 0.3750 0.1250 0.7500  4 Br 2.65
15 Br 0.6731 0.1961 0.5667  2 Cd 2.65-2.82
16 Br 0.8706 0.3039 0.4770  2 Cd 2.65-2.82
17 Br 0.1731 0.0667 0.6961  2 Cd 2.65-2.82
18 Cd 0.5000 0.5000 0.5000  6 Br 2.82
19 Br 0.8269 0.8936 0.0230  2 Cd 2.65-2.82
20 Cd 0.8750 0.6250 0.7500  4 Br 2.65
21 Br 0.8269 0.9333 0.3039  2 Cd 2.65-2.82
22 Br 0.0667 0.1731 0.1961  2 Cd 2.65-2.82
23 Cl 0.8750 0.7500 0.1250  4 Br 3.23
24 Br 0.8039 0.4770 0.3706  2 Cd 2.65-2.82
25 Br 0.3706 0.3936 0.0667  2 Cd 2.65-2.82
26 Br 0.1064 0.9333 0.1294  2 Cd 2.65-2.82
27 Br 0.0230 0.6294 0.6961  2 Cd 2.65-2.82
28 Cl 0.8750 0.1250 0.2500  4 Br 3.23
29 Cl 0.3750 0.7500 0.6250  4 Br 3.23
30 Cl 0.7500 0.8750 0.6250  4 Br 3.23
31 Cd 0.5000 0.0000 0.5000  6 Br 2.82
32 Br 0.8039 0.3269 0.9333  2 Cd 2.65-2.82
33 Br 0.3039 0.4333 0.8269  2 Cd 2.65-2.82
34 Br 0.6294 0.6064 0.9333  2 Cd 2.65-2.82
35 Cd 0.2500 0.3750 0.6250  4 Br 2.65
36 Br 0.4333 0.1294 0.6064  2 Cd 2.65-2.82
37 Cl 0.1250 0.8750 0.7500  4 Br 3.23
38 Br 0.8706 0.5667 0.8936  2 Cd 2.65-2.82
39 Cd 0.5000 0.0000 0.0000  6 Br 2.82
40 Cl 0.6250 0.3750 0.7500  4 Br 3.23
41 Br 0.9770 0.3706 0.3039  2 Cd 2.65-2.82
42 Br 0.5230 0.1961 0.1294  2 Cd 2.65-2.82
43 Cd 0.0000 0.0000 0.5000  6 Br 2.82
44 Br 0.1731 0.1064 0.9770  2 Cd 2.65-2.82
45 Cd 0.7500 0.1250 0.8750  4 Br 2.65
46 Cd 0.0000 0.0000 0.0000  6 Br 2.82
47 Cl 0.3750 0.6250 0.2500  4 Br 3.23
48 Br 0.8936 0.8269 0.5230  2 Cd 2.65-2.82
49 Br 0.6064 0.6294 0.4333  2 Cd 2.65-2.82
50 Br 0.1961 0.6731 0.0667  2 Cd 2.65-2.82
51 Br 0.6731 0.4770 0.6064  2 Cd 2.65-2.82
52 Br 0.6064 0.9770 0.6731  2 Cd 2.65-2.82
53 Br 0.3269 0.5230 0.3936  2 Cd 2.65-2.82
54 Cd 0.7500 0.6250 0.3750  4 Br 2.65
55 Br 0.3936 0.3706 0.5667  2 Cd 2.65-2.82
56 Br 0.5667 0.6961 0.6731  2 Cd 2.65-2.82
57 Br 0.5230 0.3269 0.8936  2 Cd 2.65-2.82
58 Br 0.4770 0.6731 0.1064  2 Cd 2.65-2.82
59 Br 0.5667 0.8706 0.3936  2 Cd 2.65-2.82
60 Br 0.3936 0.0230 0.3269  2 Cd 2.65-2.82
61 Br 0.0230 0.3936 0.8269  2 Cd 2.65-2.82
62 Br 0.0667 0.8936 0.3706  2 Cd 2.65-2.82
63 Br 0.9333 0.8269 0.8039  2 Cd 2.65-2.82
64 Br 0.4333 0.3039 0.3269  2 Cd 2.65-2.82
65 Br 0.3269 0.8039 0.4333  2 Cd 2.65-2.82
66 Br 0.9770 0.6064 0.1731  2 Cd 2.65-2.82
67 Cl 0.1250 0.2500 0.8750  4 Br 3.23
68 Cd 0.5000 0.5000 0.0000  6 Br 2.82
69 Br 0.6294 0.0230 0.1961  2 Cd 2.65-2.82
70 Cl 0.6250 0.2500 0.3750  4 Br 3.23
71 Cd 0.0000 0.5000 0.0000  6 Br 2.82
72 Br 0.6961 0.1294 0.0230  2 Cd 2.65-2.82
73 Cl 0.7500 0.3750 0.1250  4 Br 3.23
74 Cd 0.0000 0.5000 0.5000  6 Br 2.82
75 Cd 0.1250 0.7500 0.3750  4 Br 2.65
76 Cd 0.6250 0.7500 0.8750  4 Br 2.65
77 Br 0.3706 0.9770 0.8039  2 Cd 2.65-2.82
78 Cd 0.6250 0.8750 0.2500  4 Br 2.65
79 Cd 0.2500 0.8750 0.1250  4 Br 2.65
80 Cl 0.2500 0.1250 0.3750  4 Br 3.23

***

[12]
Below is a geometry-optimized TiSnMo2 structure, with properties calculated at the GGA-PBE level.

Values from the calculation:
As for the symmetry: No. 123. As for the calculated total energy: -33.61 eV/cell.

a = 4.2136 Å, b = 4.0198 Å, c = 4.0198 Å
α = 90.00°, β = 90.00°, γ = 90.00°
Last column: nearest neighbours and their distance in Å.
Fractional coordinates of all 4 atoms:
1 Mo 0.0000 0.5000 0.0000  4 Mo 2.84, 4 Sn 2.91, 4 Ti 2.91
2 Sn 0.5000 0.0000 0.0000  4 Ti 2.84, 8 Mo 2.91
3 Mo 0.0000 0.0000 0.5000  4 Mo 2.84, 4 Sn 2.91, 4 Ti 2.91
4 Ti 0.5000 0.5000 0.5000  4 Sn 2.84, 8 Mo 2.91